[1]
This record from the Alexandria database describes an optimized crystal structure of K2LiYCl6. The functional is GGA-PBEsol.

Summary:
Uncorrected formation energy ... -2.07 eV/atom
D(E_F) ... 0.00 states/eV per atom

Cell: 10.173 10.173 10.173 Å, 90.00 90.00 90.00°
Space group Fm-3m (No. 225)
Symmetry-distinct sites (fractional):
K: 0.250 0.250 0.250 (multiplicity 8)
Li: 0.000 0.000 0.000 (multiplicity 4)
Y: 0.000 0.000 0.500 (multiplicity 4)
Cl: 0.000 0.000 0.245 (multiplicity 24)


[2]
This record from the Alexandria database describes an optimized crystal structure of K2YAlC. The functional is GGA-PBEsol.

Summary:
D(E_F) ... 1.22 states/eV per atom
Formation energy from the elements ... 2.1555 eV/atom

Cell: 7.225 7.225 5.439 Å, 90.00 90.00 90.00°
Space group P4/mmm (No. 123)
Symmetry-distinct sites (fractional):
K: 0.000 0.500 0.000 (multiplicity 2)
Y: 0.000 0.000 0.000 (multiplicity 1)
Al: 0.000 0.000 0.500 (multiplicity 1)
C: 0.500 0.500 0.500 (multiplicity 1)


[3]
This record from the Alexandria database describes an optimized crystal structure of LiAg. The functional is GGA-PBEsol.

Summary:
D(E_F) ... 0.37 states/eV per atom
Formation energy from the elements ... -0.1402 eV/atom

Cell: 2.8699 2.8699 4.4064 Å, 90.00 90.00 120.00°
Space group P-6m2 (No. 187)
Symmetry-distinct sites (fractional):
Li: 0.0000 0.0000 0.0000 (multiplicity 1)
Ag: 0.6667 0.3333 0.5000 (multiplicity 1)


[4]
This record from the Alexandria database describes an optimized crystal structure of CdIn2Se4. The functional is GGA-PBEsol.

Summary:
Uncorrected formation energy ... -0.53 eV/atom
Polymorph energy (0 for the lowest one) ... 0.03 eV/f.u.

Cell: 5.770 5.770 5.903 Å, 90.00 90.00 90.00°
Space group P-42m (No. 111)
Symmetry-distinct sites (fractional):
Cd: 0.000 0.000 0.000 (multiplicity 1)
In: 0.000 0.500 0.500 (multiplicity 2)
Se: 0.278 0.278 0.772 (multiplicity 4)


[5]
This record from the Alexandria database describes an optimized crystal structure of HfFeAs2P. The functional is GGA-PBEsol.

Summary:
D(E_F) ... 0.60 states/eV per atom
Polymorph energy (0 for the lowest one) ... 1.37 eV/f.u.
Formation energy from the elements ... 0.3801 eV/atom

Cell: 4.741 4.741 3.977 Å, 90.00 90.00 90.00°
Space group P4/mmm (No. 123)
Symmetry-distinct sites (fractional):
Hf: 0.000 0.000 0.000 (multiplicity 1)
Fe: 0.500 0.500 0.000 (multiplicity 1)
As: 0.000 0.500 0.500 (multiplicity 2)
P: 0.500 0.500 0.500 (multiplicity 1)


[6]
This record from the Alexandria database describes an optimized crystal structure of InSnOs2. The functional is GGA-PBEsol.

Summary:
D(E_F) ... 0.74 states/eV per atom
Formation energy from the elements ... 0.4395 eV/atom

Cell: 6.406 6.406 6.406 Å, 90.00 90.00 90.00°
Space group Fm-3m (No. 225)
Symmetry-distinct sites (fractional):
In: 0.000 0.000 0.000 (multiplicity 4)
Sn: 0.000 0.000 0.500 (multiplicity 4)
Os: 0.250 0.250 0.250 (multiplicity 8)


[7]
This record from the Alexandria database describes an optimized crystal structure of K2PbS2O8. The functional is GGA-PBEsol.

Summary:
Uncorrected formation energy ... -1.73 eV/atom
D(E_F) ... 0.00 states/eV per atom

Cell: 5.4810 5.4810 20.7782 Å, 90.00 90.00 120.00°
Space group R-3m (No. 166, hexagonal axes)
Symmetry-distinct sites (fractional):
K: 0.0000 0.0000 0.2022 (multiplicity 6)
Pb: 0.0000 0.0000 0.0000 (multiplicity 3)
S: 0.0000 0.0000 0.4016 (multiplicity 6)
O: 0.0000 0.0000 0.3305 (multiplicity 6)
O: 0.0372 0.5186 0.2404 (multiplicity 18)


[8]
This record from the Alexandria database describes an optimized crystal structure of MgSnTeN2. The functional is GGA-PBEsol.

Summary:
Uncorrected formation energy ... 1.11 eV/atom
D(E_F) ... 0.48 states/eV per atom

Cell: 4.266 4.266 5.618 Å, 90.00 90.00 90.00°
Space group P4/mmm (No. 123)
Symmetry-distinct sites (fractional):
Mg: 0.000 0.000 0.000 (multiplicity 1)
Sn: 0.500 0.500 0.500 (multiplicity 1)
Te: 0.000 0.000 0.500 (multiplicity 1)
N: 0.000 0.500 0.000 (multiplicity 2)


Question: Which formula does entry 5 have?
Answer: HfFeAs2P


Copy entry 5 word for word.
This record from the Alexandria database describes an optimized crystal structure of HfFeAs2P. The functional is GGA-PBEsol.

Summary:
D(E_F) ... 0.60 states/eV per atom
Polymorph energy (0 for the lowest one) ... 1.37 eV/f.u.
Formation energy from the elements ... 0.3801 eV/atom

Cell: 4.741 4.741 3.977 Å, 90.00 90.00 90.00°
Space group P4/mmm (No. 123)
Symmetry-distinct sites (fractional):
Hf: 0.000 0.000 0.000 (multiplicity 1)
Fe: 0.500 0.500 0.000 (multiplicity 1)
As: 0.000 0.500 0.500 (multiplicity 2)
P: 0.500 0.500 0.500 (multiplicity 1)